Record 1
Density functional theory data (PBE) for an optimized crystal structure of RbGaTe2.

```
RbGaTe2
1.0
8.299 -0.003 0.005
-2.235 5.670 -0.010
1.115 -2.829 3.052
Te Rb Ga
2 1 1
direct
0.769 0.647 0.502
0.186 0.356 0.502
0.477 0.001 0.502
0.978 0.252 0.002
```

Values from the calculation:
Raw formation energy (eV per atom): -0.640
Space-group type: I-4m2 (119)



Record 2
Density functional theory data (PBE) for an optimized crystal structure of KBC.

```
KBC
1.0
5.118 0.021 0.000
-0.021 5.702 0.039
-2.560 -0.038 4.433
K B C
2 2 2
direct
0.163 0.000 0.593
0.829 0.500 0.926
0.496 0.860 0.259
0.496 0.138 0.259
0.496 0.617 0.259
0.496 0.381 0.259
```

Values from the calculation:
Space-group type: P-6m2 (187)



Record 3
Density functional theory data (PBE) for an optimized crystal structure of Ta2ZnNi2.

```
Ta2ZnNi2
1.0
7.426 0.000 0.000
0.000 7.426 0.000
0.000 0.000 2.793
Ni Zn Ta
4 2 4
direct
0.126 0.626 0.500
0.626 0.874 0.500
0.874 0.374 0.500
0.374 0.126 0.500
0.000 0.000 0.000
0.500 0.500 0.000
0.334 0.834 0.000
0.834 0.666 0.000
0.666 0.166 0.000
0.166 0.334 0.000
```

Values from the calculation:
Energy relative to the lowest polymorph listed for this composition (meV/atom): 253
Space-group type: P4/mbm (127)



Record 4
Density functional theory data (PBE) for an optimized crystal structure of Ga2HgSb.

```
Ga2HgSb
1.0
4.368 0.000 0.000
2.184 3.783 0.000
2.184 1.261 6.209
Ga Hg Sb
2 1 1
direct
0.080 0.080 0.759
0.256 0.256 0.233
0.494 0.494 0.517
0.670 0.670 0.991
```

Values from the calculation:
Raw formation energy (eV per atom): 0.061
Energy relative to the lowest polymorph listed for this composition (meV/atom): 0
Space-group type: R3m (160)



no.,E_tot (eV for the cell shown),Fermi-level density of states (states/eV/f.u.)
1,-12.8,0.0
2,-33.3,1.3
3,-72.1,3.8
4,-10.2,1.4